Al2Ge2Rh after structural relaxation. Source: Alexandria, functional PBE.

Calculated values
formation enthalpy at 0 K = -0.06 eV/atom
volume = 16.968 Å³ per atom

The structure in POSCAR format:
```
Al2Ge2Rh
1.0
6.386 0.000 0.000
0.000 6.386 0.000
0.000 0.000 4.160
Al Ge Rh
4 4 2
Direct
0.172 0.328 0.000
0.328 0.828 0.000
0.672 0.172 0.000
0.828 0.672 0.000
0.141 0.641 0.500
0.359 0.141 0.500
0.641 0.859 0.500
0.859 0.359 0.500
0.000 0.000 0.500
0.500 0.500 0.500
```

=====

Al2GeRh5 after structural relaxation. Source: Alexandria, functional PBE.

Calculated values
formation enthalpy at 0 K = -0.73 eV/atom
volume = 13.977 Å³ per atom

The structure in POSCAR format:
```
Al2GeRh5
1.0
5.330 0.000 0.000
0.000 10.196 0.000
0.000 0.000 4.115
Al Ge Rh
4 2 10
Direct
0.135 0.140 0.000
0.365 0.640 0.000
0.635 0.360 0.000
0.865 0.860 0.000
0.000 0.500 0.500
0.500 0.000 0.500
0.000 0.000 0.500
0.136 0.729 0.500
0.168 0.391 0.000
0.332 0.891 0.000
0.364 0.229 0.500
0.500 0.500 0.500
0.636 0.771 0.500
0.668 0.109 0.000
0.832 0.609 0.000
0.864 0.271 0.500
```

=====

Al3GeRh after structural relaxation. Source: Alexandria, functional PBE.

Calculated values
formation enthalpy at 0 K = 0.02 eV/atom
volume = 20.551 Å³ per atom
energy above the lowest structure with this stoichiometry = 0.00 eV per formula unit

The structure in POSCAR format:
```
Al3GeRh
1.0
4.684 0.000 0.000
0.000 4.684 0.000
0.000 0.000 4.684
Al Ge Rh
3 1 1
Direct
0.000 0.000 0.500
0.000 0.500 0.000
0.500 0.000 0.000
0.500 0.500 0.500
0.000 0.000 0.000
```

=====

Al8GeRh2 after structural relaxation. Source: Alexandria, functional PBE.

Calculated values
formation enthalpy at 0 K = -0.44 eV/atom
volume = 15.887 Å³ per atom

The structure in POSCAR format:
```
Al8GeRh2
1.0
4.790 0.000 0.000
-0.023 5.104 0.000
-2.388 -2.540 7.148
Al Ge Rh
8 1 2
Direct
0.103 0.103 0.207
0.249 0.455 0.999
0.311 0.561 0.628
0.316 0.065 0.626
0.684 0.935 0.374
0.689 0.439 0.372
0.751 0.545 0.001
0.897 0.897 0.793
0.500 0.000 0.000
0.157 0.656 0.313
0.843 0.344 0.687
```

=====

AlGeRh after structural relaxation. Source: Alexandria, functional PBE.

Calculated values
formation enthalpy at 0 K = -0.52 eV/atom
volume = 16.911 Å³ per atom

The structure in POSCAR format:
```
AlGeRh
1.0
5.876 0.000 0.000
0.000 5.876 0.000
0.000 0.000 5.876
Al Ge Rh
4 4 4
Direct
0.000 0.000 0.000
0.000 0.500 0.500
0.500 0.000 0.500
0.500 0.500 0.000
0.000 0.000 0.500
0.000 0.500 0.000
0.500 0.000 0.000
0.500 0.500 0.500
0.250 0.250 0.250
0.250 0.750 0.750
0.750 0.250 0.750
0.750 0.750 0.250
```

=====

Al3GeRh after structural relaxation. Source: Alexandria, functional PBE.

Calculated values
formation enthalpy at 0 K = 0.87 eV/atom
volume = 20.688 Å³ per atom
energy above the lowest structure with this stoichiometry = 4.29 eV per formula unit

The structure in POSCAR format:
```
Al3GeRh
1.0
4.694 0.000 0.000
0.000 4.694 0.000
0.000 0.000 4.694
Al Ge Rh
3 1 1
Direct
0.000 0.000 0.500
0.000 0.500 0.000
0.500 0.000 0.000
0.000 0.000 0.000
0.500 0.500 0.500
```

=====

AlGe2Rh after structural relaxation. Source: Alexandria, functional PBE.

Calculated values
formation enthalpy at 0 K = 0.17 eV/atom
volume = 22.973 Å³ per atom

The structure in POSCAR format:
```
AlGe2Rh
1.0
5.604 0.000 0.000
0.000 5.604 0.000
0.000 0.000 11.706
Al Ge Rh
4 8 4
Direct
0.000 0.000 0.000
0.000 0.500 0.250
0.500 0.000 0.750
0.500 0.500 0.500
0.224 0.250 0.625
0.250 0.724 0.875
0.250 0.776 0.375
0.276 0.250 0.125
0.724 0.750 0.125
0.750 0.224 0.375
0.750 0.276 0.875
0.776 0.750 0.625
0.000 0.000 0.500
0.000 0.500 0.750
0.500 0.000 0.250
0.500 0.500 0.000
```

=====

Sc2Al2GeRh5 after structural relaxation. Source: Alexandria, functional PBE.

Calculated values
formation enthalpy at 0 K = -0.84 eV/atom
volume = 15.673 Å³ per atom

The structure in POSCAR format:
```
Sc2Al2GeRh5
1.0
9.612 0.000 0.000
0.000 9.612 0.000
0.000 0.000 3.393
Sc Al Ge Rh
4 4 2 10
Direct
0.172 0.328 0.000
0.328 0.828 0.000
0.672 0.172 0.000
0.828 0.672 0.000
0.127 0.627 0.000
0.373 0.127 0.000
0.627 0.873 0.000
0.873 0.373 0.000
0.000 0.000 0.000
0.500 0.500 0.000
0.000 0.500 0.500
0.070 0.801 0.500
0.199 0.070 0.500
0.301 0.570 0.500
0.430 0.301 0.500
0.500 0.000 0.500
0.570 0.699 0.500
0.699 0.430 0.500
0.801 0.930 0.500
0.930 0.199 0.500
```

=====

> What is the formula in the sixth record?

Al3GeRh